This record from Alexandria via LeMat-Bulk describes CoNiGe after structural relaxation. The functional is PBEsol.

Cell lengths 3.9374, 3.9374, 5.0100 Å; angles 90.00, 90.00, 120.00 degrees
With the nearest neighbours (Å) after each atom.
Sites, in units of the cell vectors:
Co: 0.0000 0.0000 0.0000  2 Co 2.51, 6 Ni 2.60, 6 Ge 2.60
Co: 0.0000 0.0000 0.5000  2 Co 2.51, 6 Ni 2.60, 6 Ge 2.60
Ni: 0.3333 0.6667 0.7500  5 Ge 2.27-2.51
Ni: 0.6667 0.3333 0.2500  5 Ge 2.27-2.51
Ge: 0.3333 0.6667 0.2500  5 Ni 2.27-2.51
Ge: 0.6667 0.3333 0.7500  5 Ni 2.27-2.51

Output
* DOS at the Fermi energy: 4.6 states/eV per cell
* total magnetic moment: 0.2 μB/f.u.
* total energy: -6.526 eV per atom



This record from Alexandria via LeMat-Bulk describes Co10Ge3O16 after structural relaxation. The functional is PBEsol.

Cell lengths 5.8354, 5.8354, 10.2319 Å; angles 73.43, 73.43, 60.00 degrees
With the nearest neighbours (Å) after each atom.
Sites, in units of the cell vectors:
O: 0.3769 0.8739 0.3722  1 Ge 1.78
O: 0.3769 0.3769 0.3722  1 Ge 1.78
O: 0.8739 0.3769 0.3722  1 Ge 1.78
O: 0.6231 0.1261 0.6278  1 Ge 1.78
O: 0.6231 0.6231 0.6278  1 Ge 1.78
O: 0.1261 0.6231 0.6278  1 Ge 1.78
O: 0.1140 0.1140 0.1138  1 Ge 1.89, 4 Co 2.08-2.10
O: 0.6582 0.1140 0.1138  1 Ge 1.89, 4 Co 2.08-2.10
O: 0.1140 0.6582 0.1138  1 Ge 1.89, 4 Co 2.08-2.10
O: 0.3418 0.8860 0.8862  1 Ge 1.89, 4 Co 2.08-2.10
O: 0.8860 0.3418 0.8862  1 Ge 1.89, 4 Co 2.08-2.10
O: 0.8860 0.8860 0.8862  1 Ge 1.89, 4 Co 2.08-2.10
O: 0.6228 0.6228 0.1315  6 Co 2.11-2.14
O: 0.1288 0.1288 0.6135  1 Ge 1.79
O: 0.3772 0.3772 0.8685  6 Co 2.11-2.14
O: 0.8712 0.8712 0.3865  1 Ge 1.79
Co: 0.2323 0.7550 0.2577  6 O 2.03-2.14
Co: 0.7550 0.2323 0.2577  6 O 2.03-2.14
Co: 0.7550 0.7550 0.2577  6 O 2.03-2.14
Co: 0.2450 0.2450 0.7423  6 O 2.03-2.14
Co: 0.7677 0.2450 0.7423  6 O 2.03-2.14
Co: 0.2450 0.7677 0.7423  6 O 2.03-2.14
Co: 0.5000 0.5000 0.5000  6 O 2.08
Co: 0.5000 0.5000 0.0000  6 O 2.08-2.11
Co: 0.0000 0.5000 0.0000  6 O 2.08-2.11
Co: 0.5000 0.0000 0.0000  6 O 2.08-2.11
Ge: 0.8094 0.8094 0.5719  4 O 1.78-1.79
Ge: 0.1906 0.1906 0.4281  4 O 1.78-1.79
Ge: 0.0000 0.0000 0.0000  6 O 1.89

Output
* DOS at the Fermi energy: 31.5 states/eV per cell
* total magnetic moment: 28.9 μB/f.u.
* total energy: -6.995 eV per atom



This record from Alexandria via LeMat-Bulk describes CoGeRh2O after structural relaxation. The functional is PBEsol.

Cell lengths 3.2360, 4.6528, 4.6528 Å; angles 90.00, 90.00, 90.00 degrees
With the nearest neighbours (Å) after each atom.
Sites, in units of the cell vectors:
Co: 0.0000 0.0000 0.0000  2 O 1.62
Ge: 0.5000 0.5000 0.5000  8 Rh 2.83
Rh: 0.0000 0.0000 0.5000  2 Co 2.33
Rh: 0.0000 0.5000 0.0000  2 Co 2.33
O: 0.5000 0.0000 0.0000  2 Co 1.62

Output
* DOS at the Fermi energy: 5.2 states/eV per cell
* total magnetic moment: 1.5 μB/f.u.
* total energy: -6.554 eV per atom



This record from Alexandria via LeMat-Bulk describes SrCoGe2O6 after structural relaxation. The functional is PBEsol.

Cell lengths 5.4118, 6.9166, 6.9166 Å; angles 83.12, 77.98, 77.98 degrees
With the nearest neighbours (Å) after each atom.
Sites, in units of the cell vectors:
Sr: 0.7500 0.1945 0.8055  8 O 2.49-2.68
Sr: 0.2500 0.8055 0.1945  8 O 2.49-2.68
Co: 0.7500 0.5847 0.4153  6 O 2.04-2.11
Co: 0.2500 0.4153 0.5847  6 O 2.04-2.11
Ge: 0.8012 0.6815 0.8802  4 O 1.73-1.83
Ge: 0.1988 0.3185 0.1198  4 O 1.73-1.83
Ge: 0.6988 0.1198 0.3185  4 O 1.73-1.83
Ge: 0.3012 0.8802 0.6815  4 O 1.73-1.83
O: 0.9720 0.1620 0.1230  2 Ge 1.79-1.83
O: 0.0280 0.8380 0.8770  2 Ge 1.79-1.83
O: 0.5280 0.8770 0.8380  2 Ge 1.79-1.83
O: 0.4720 0.1230 0.1620  2 Ge 1.79-1.83
O: 0.8705 0.5233 0.6899  1 Ge 1.74
O: 0.1295 0.4767 0.3101  1 Ge 1.74
O: 0.6295 0.3101 0.4767  1 Ge 1.74
O: 0.3705 0.6899 0.5233  1 Ge 1.74
O: 0.6974 0.5895 0.1211  1 Ge 1.73
O: 0.3026 0.4105 0.8789  1 Ge 1.73
O: 0.8026 0.8789 0.4105  1 Ge 1.73
O: 0.1974 0.1211 0.5895  1 Ge 1.73

Output
* DOS at the Fermi energy: 13.9 states/eV per cell
* total magnetic moment: 3.0 μB/f.u.
* total energy: -6.876 eV per atom



This record from Alexandria via LeMat-Bulk describes ZnCoGe2O6 after structural relaxation. The functional is PBEsol.

Cell lengths 5.1038, 6.6065, 6.6065 Å; angles 85.21, 81.75, 81.75 degrees
With the nearest neighbours (Å) after each atom.
Sites, in units of the cell vectors:
Zn: 0.2500 0.2720 0.7280  6 O 2.00-2.21
Zn: 0.7500 0.7280 0.2720  6 O 2.00-2.21
Co: 0.2500 0.9188 0.0812  6 O 2.05-2.09
Co: 0.7500 0.0812 0.9188  6 O 2.05-2.09
Ge: 0.2134 0.7959 0.6001  4 O 1.73-1.81
Ge: 0.2866 0.3999 0.2041  4 O 1.73-1.81
Ge: 0.7866 0.2041 0.3999  4 O 1.73-1.81
Ge: 0.7134 0.6001 0.7959  4 O 1.73-1.81
O: 0.4048 0.5696 0.7054  2 Ge 1.81
O: 0.0952 0.2946 0.4304  2 Ge 1.81
O: 0.5952 0.4304 0.2946  2 Ge 1.81
O: 0.9048 0.7054 0.5696  2 Ge 1.81
O: 0.8830 0.3653 0.8671  1 Ge 1.73
O: 0.6170 0.1329 0.6347  1 Ge 1.73
O: 0.1170 0.6347 0.1329  1 Ge 1.73
O: 0.3830 0.8671 0.3653  1 Ge 1.73
O: 0.1302 0.9751 0.7899  1 Ge 1.76
O: 0.3698 0.2101 0.0249  1 Ge 1.76
O: 0.8698 0.0249 0.2101  1 Ge 1.76
O: 0.6302 0.7899 0.9751  1 Ge 1.76

Output
* DOS at the Fermi energy: 9.0 states/eV per cell
* total magnetic moment: 3.0 μB/f.u.
* total energy: -6.458 eV per atom



This record from Alexandria via LeMat-Bulk describes Co2Ge2Pd after structural relaxation. The functional is PBEsol.

Cell lengths 2.7145, 6.7813, 6.7813 Å; angles 90.00, 90.00, 90.00 degrees
With the nearest neighbours (Å) after each atom.
Sites, in units of the cell vectors:
Ge: 0.0000 0.3443 0.8443  6 Co 2.39-2.42, 2 Pd 2.56
Ge: 0.0000 0.8443 0.6557  6 Co 2.39-2.42, 2 Pd 2.56
Ge: 0.0000 0.6557 0.1557  6 Co 2.39-2.42, 2 Pd 2.56
Ge: 0.0000 0.1557 0.3443  6 Co 2.39-2.42, 2 Pd 2.56
Co: 0.5000 0.1392 0.6392  6 Ge 2.39-2.42, 1 Co 2.67
Co: 0.5000 0.6392 0.8608  6 Ge 2.39-2.42, 1 Co 2.67
Co: 0.5000 0.8608 0.3608  6 Ge 2.39-2.42, 1 Co 2.67
Co: 0.5000 0.3608 0.1392  6 Ge 2.39-2.42, 1 Co 2.67
Pd: 0.0000 0.0000 0.0000  4 Ge 2.56, 2 Pd 2.71
Pd: 0.0000 0.5000 0.5000  4 Ge 2.56, 2 Pd 2.71

Output
* DOS at the Fermi energy: 6.1 states/eV per cell
* total magnetic moment: 0.0 μB/f.u.
* total energy: -6.554 eV per atom



This record from Alexandria via LeMat-Bulk describes CoGePdRu2 after structural relaxation. The functional is PBEsol.

Cell lengths 4.1891, 4.4339, 4.4339 Å; angles 90.00, 90.00, 90.00 degrees
With the nearest neighbours (Å) after each atom.
Sites, in units of the cell vectors:
Ru: 0.0000 0.0000 0.5000  2 Ge 2.22
Ru: 0.0000 0.5000 0.0000  2 Ge 2.22
Ge: 0.0000 0.0000 0.0000  2 Co 2.09, 4 Ru 2.22
Co: 0.5000 0.0000 0.0000  2 Ge 2.09
Pd: 0.5000 0.5000 0.5000  8 Ru 3.05, 4 Co 3.14

Output
* DOS at the Fermi energy: 6.7 states/eV per cell
* total magnetic moment: 2.9 μB/f.u.
* total energy: -6.556 eV per atom



This record from Alexandria via LeMat-Bulk describes Co2GePdW after structural relaxation. The functional is PBEsol.

Cell lengths 4.3619, 4.3619, 4.8230 Å; angles 90.00, 90.00, 90.00 degrees
With the nearest neighbours (Å) after each atom.
Sites, in units of the cell vectors:
Ge: 0.5000 0.5000 0.5000  4 Pd 3.08, 8 Co 3.25
Co: 0.0000 0.5000 0.0000  2 W 2.18
Co: 0.5000 0.0000 0.0000  2 W 2.18
Pd: 0.0000 0.0000 0.5000  2 W 2.41
W: 0.0000 0.0000 0.0000  4 Co 2.18, 2 Pd 2.41

Output
* DOS at the Fermi energy: 5.1 states/eV per cell
* total magnetic moment: 0.0 μB/f.u.
* total energy: -6.579 eV per atom



This record from Alexandria via LeMat-Bulk describes PrCo2Ge2 after structural relaxation. The functional is PBEsol.

Cell lengths 3.9757, 3.9757, 5.8259 Å; angles 109.95, 109.95, 90.00 degrees
With the nearest neighbours (Å) after each atom.
Sites, in units of the cell vectors:
Pr: 0.0000 0.0000 0.0000  8 Ge 3.12, 8 Co 3.23
Ge: 0.6327 0.6327 0.2654  4 Co 2.32
Ge: 0.3673 0.3673 0.7346  4 Co 2.32
Co: 0.7500 0.2500 0.5000  4 Ge 2.32
Co: 0.2500 0.7500 0.5000  4 Ge 2.32

Output
* DOS at the Fermi energy: 3.3 states/eV per cell
* total magnetic moment: 0.0 μB/f.u.
* total energy: -6.743 eV per atom



This record from Alexandria via LeMat-Bulk describes Co3GePt after structural relaxation. The functional is PBEsol.

Cell lengths 4.5283, 4.5283, 4.5283 Å; angles 90.00, 90.00, 90.00 degrees
With the nearest neighbours (Å) after each atom.
Sites, in units of the cell vectors:
Ge: 0.5000 0.5000 0.5000  12 Co 3.20
Co: 0.0000 0.5000 0.0000  2 Pt 2.26
Co: 0.0000 0.0000 0.5000  2 Pt 2.26
Co: 0.5000 0.0000 0.0000  2 Pt 2.26
Pt: 0.0000 0.0000 0.0000  6 Co 2.26

Output
* DOS at the Fermi energy: 6.4 states/eV per cell
* total magnetic moment: 6.3 μB/f.u.
* total energy: -5.654 eV per atom



This record from Alexandria via LeMat-Bulk describes CoGeSbPt2 after structural relaxation. The functional is PBEsol.

Cell lengths 4.5828, 4.8936, 4.8936 Å; angles 90.00, 90.00, 90.00 degrees
With the nearest neighbours (Å) after each atom.
Sites, in units of the cell vectors:
Sb: 0.0000 0.0000 0.0000  2 Co 2.29, 4 Pt 2.45
Ge: 0.5000 0.5000 0.5000  8 Pt 3.35, 4 Co 3.46
Co: 0.5000 0.0000 0.0000  2 Sb 2.29
Pt: 0.0000 0.0000 0.5000  2 Sb 2.45
Pt: 0.0000 0.5000 0.0000  2 Sb 2.45

Output
* DOS at the Fermi energy: 3.1 states/eV per cell
* total magnetic moment: 1.4 μB/f.u.
* total energy: -5.222 eV per atom



This record from Alexandria via LeMat-Bulk describes ZrCoGePt2 after structural relaxation. The functional is PBEsol.

Cell lengths 4.2076, 4.6020, 4.6020 Å; angles 90.00, 90.00, 90.00 degrees
With the nearest neighbours (Å) after each atom.
Sites, in units of the cell vectors:
Ge: 0.5000 0.0000 0.0000  2 Co 2.10
Co: 0.0000 0.0000 0.0000  2 Ge 2.10, 4 Pt 2.30
Zr: 0.5000 0.5000 0.5000  8 Pt 3.12, 4 Ge 3.25
Pt: 0.0000 0.0000 0.5000  2 Co 2.30
Pt: 0.0000 0.5000 0.0000  2 Co 2.30

Output
* DOS at the Fermi energy: 5.6 states/eV per cell
* total magnetic moment: 1.8 μB/f.u.
* total energy: -6.915 eV per atom